Entry 1:
A relaxed structure of LaAlIr2, computed with PBE.

Its energy of formation from the pure elements is -0.6 eV per formula unit. The magnetic moment is 0.3 μB/f.u. The volume comes out at 17.89 A^3/atom. The value obtained for the density is 12.768 g/cm3. The calculation puts the density of states at the Fermi level at 7.88 states/eV per cell.

The space group is R-3m (No. 166, hexagonal axes) and the conventional cell measures 3.0565, 3.0565 and 26.5399 Å, with angles of 90.00, 90.00 and 120.00 degrees. The distinct sites, in fractional coordinates, are La at (0.0000, 0.0000, 0.0000), Al at (0.0000, 0.0000, 0.5000) and Ir at (0.0000, 0.0000, 0.2365).


Entry 2:
A relaxed structure of SmTmAl, computed with PBE.

Its energy of formation from the pure elements is -0.4 eV per formula unit. The magnetic moment is 0.0 μB/f.u. The volume comes out at 26.74 A^3/atom. The value obtained for the density is 7.168 g/cm3. The calculation puts the energy above the most stable polymorph in this dataset at 93 meV/atom. The calculation puts the density of states at the Fermi level at 1.94 states/eV per cell.

The space group is P3m1 (No. 156) and the conventional cell measures 5.0747, 5.0747 and 3.5970 Å, with angles of 90.00, 90.00 and 120.00 degrees. The distinct sites, in fractional coordinates, are Sm at (0.0000, 0.0000, 0.0000), Tm at (0.3333, 0.6667, 0.4434) and Al at (0.6667, 0.3333, 0.6608).


Entry 3:
A relaxed structure of Li2Ag2Cl, computed with PBE.

The magnetic moment is 0.0 μB/f.u. The volume comes out at 19.36 A^3/atom. The value obtained for the density is 4.548 g/cm3. The calculation puts the density of states at the Fermi level at 5.50 states/eV per cell. The calculation puts the final energy at -23.18 eV per cell.

The space group is I4/mmm (No. 139) and the conventional cell measures 3.599, 3.599 and 14.942 Å, with angles of 90.00, 90.00 and 90.00 degrees. The distinct sites, in fractional coordinates, are Li at (0.000, 0.500, 0.250), Ag at (0.000, 0.000, 0.112) and Cl at (0.000, 0.000, 0.500).


Entry 4:
A relaxed structure of Tb3Ho3Al2, computed with PBE.

Its energy of formation from the pure elements is -0.9 eV per formula unit. The magnetic moment is 0.0 μB/f.u. The volume comes out at 28.10 A^3/atom. The value obtained for the density is 7.574 g/cm3. The calculation puts the density of states at the Fermi level at 30.58 states/eV per cell.

The space group is Cmcm (No. 63) and the conventional cell measures 5.137, 11.620 and 15.065 Å, with angles of 90.00, 90.00 and 90.00 degrees. The distinct sites, in fractional coordinates, are Tb at (0.000, 0.042, 0.250), Tb at (0.000, 0.149, 0.527), Ho at (0.000, 0.242, 0.750), Ho at (0.000, 0.463, 0.606) and Al at (0.000, 0.281, 0.151).


Entry 5:
A relaxed structure of La2Tb3PmHo6, computed with PBE.

Its energy of formation from the pure elements is 0.2 eV per formula unit. The magnetic moment is 0.0 μB/f.u. The volume comes out at 32.42 A^3/atom. The value obtained for the density is 8.063 g/cm3. The calculation puts the density of states at the Fermi level at 30.74 states/eV per cell.

The space group is C2/m (No. 12) and the conventional cell measures 6.216, 10.764 and 11.813 Å, with angles of 90.00, 100.08 and 90.00 degrees. The distinct sites, in fractional coordinates, are La at (0.000, 0.167, 0.000), Tb at (0.000, 0.000, 0.500), Tb at (0.000, 0.333, 0.500), Pm at (0.000, 0.500, 0.000), Ho at (0.247, 0.500, 0.745) and Ho at (0.248, 0.166, 0.745).


Entry 6:
A relaxed structure of K2Pa2PdSe6, computed with PBE.

The magnetic moment is 0.3 μB/f.u. The volume comes out at 31.38 A^3/atom. The value obtained for the density is 5.390 g/cm3. The calculation puts the density of states at the Fermi level at 1.47 states/eV per cell. The calculation puts the final energy at -120.91 eV per cell.

The space group is C2/m (No. 12) and the conventional cell measures 6.841, 12.764 and 8.196 Å, with angles of 90.00, 105.28 and 90.00 degrees. The distinct sites, in fractional coordinates, are K at (0.000, 0.155, 0.000), Pa at (0.000, 0.339, 0.500), Pd at (0.000, 0.000, 0.500), Se at (0.236, 0.500, 0.690) and Se at (0.238, 0.183, 0.703).


Entry 7:
A relaxed structure of BeOsBr2, computed with PBE.

The magnetic moment is 0.0 μB/f.u. The volume comes out at 16.60 A^3/atom. The value obtained for the density is 8.981 g/cm3. The calculation puts the energy above the most stable polymorph in this dataset at 1174 meV/atom. The calculation puts the density of states at the Fermi level at 12.12 states/eV per cell.

The space group is Fm-3m (No. 225) and the conventional cell measures 6.427, 6.427 and 6.427 Å, with angles of 90.00, 90.00 and 90.00 degrees. The distinct sites, in fractional coordinates, are Be at (0.000, 0.000, 0.000), Os at (0.000, 0.000, 0.500) and Br at (0.250, 0.250, 0.250).


Entry 8:
A relaxed structure of HgSeCl, computed with PBE.

The magnetic moment is 0.0 μB/f.u. The volume comes out at 25.67 A^3/atom. The value obtained for the density is 6.791 g/cm3. The calculation puts the energy above the most stable polymorph in this dataset at 524 meV/atom. The calculation puts the density of states at the Fermi level at 1.78 states/eV per cell.

The space group is I4mm (No. 107) and the conventional cell measures 3.318, 3.318 and 13.990 Å, with angles of 90.00, 90.00 and 90.00 degrees. The distinct sites, in fractional coordinates, are Hg at (0.000, 0.000, 0.000), Se at (0.000, 0.000, 0.363) and Cl at (0.000, 0.000, 0.620).


> Which of these has the lowest density?

Li2Ag2Cl


> Which of these has the highest density?

LaAlIr2


Repeat the sixth record exactly.
A relaxed structure of K2Pa2PdSe6, computed with PBE.

The magnetic moment is 0.3 μB/f.u. The volume comes out at 31.38 A^3/atom. The value obtained for the density is 5.390 g/cm3. The calculation puts the density of states at the Fermi level at 1.47 states/eV per cell. The calculation puts the final energy at -120.91 eV per cell.

The space group is C2/m (No. 12) and the conventional cell measures 6.841, 12.764 and 8.196 Å, with angles of 90.00, 105.28 and 90.00 degrees. The distinct sites, in fractional coordinates, are K at (0.000, 0.155, 0.000), Pa at (0.000, 0.339, 0.500), Pd at (0.000, 0.000, 0.500), Se at (0.236, 0.500, 0.690) and Se at (0.238, 0.183, 0.703).


> Which of these has the lowest density?

Li2Ag2Cl